Material: YAl2ZnOs
Method: DFT, GGA-PBE
State: relaxed

```
data_YAl2ZnOs
_symmetry_space_group_name_H-M 'P 4/m m m'
_symmetry_Int_Tables_number 123
_symmetry_space_group_name_Hall '-P 4 2'
_cell_length_a 4.5418
_cell_length_b 4.5418
_cell_length_c 4.7847
_cell_angle_alpha 90.00
_cell_angle_beta 90.00
_cell_angle_gamma 90.00
loop_
_atom_site_label
_atom_site_fract_x
_atom_site_fract_y
_atom_site_fract_z
_atom_site_occupancy
Y1 0.0000 0.0000 0.0000 1
Al1 0.0000 0.5000 0.5000 1
Zn1 0.5000 0.5000 0.5000 1
Os1 0.5000 0.5000 0.0000 1
```

Results
- VASP energy: -4.855 eV per atom

=====

Material: U2ZnNi12P3
Method: DFT, GGA-PBE
State: relaxed

```
data_U2ZnNi12P3
_symmetry_space_group_name_H-M 'R -3 m'
_symmetry_Int_Tables_number 166
_symmetry_space_group_name_Hall '-R 3 2"'
_cell_length_a 7.3882
_cell_length_b 7.3882
_cell_length_c 16.6636
_cell_angle_alpha 90.00
_cell_angle_beta 90.00
_cell_angle_gamma 120.00
loop_
_atom_site_label
_atom_site_fract_x
_atom_site_fract_y
_atom_site_fract_z
_atom_site_occupancy
U1 0.0000 0.0000 0.1148 1
Zn1 0.0000 0.0000 0.5000 1
Ni1 0.0156 0.5078 0.3706 1
Ni2 0.0267 0.5134 0.8674 1
P1 0.0000 0.5000 0.0000 1
```

Results
- VASP energy: -6.091 eV per atom

=====

Material: Zr5CdAu
Method: DFT, GGA-PBE
State: relaxed

```
data_Zr5CdAu
_symmetry_space_group_name_H-M 'C 1 2/c 1'
_symmetry_Int_Tables_number 15
_cell_length_a 10.2584
_cell_length_b 6.1895
_cell_length_c 10.7078
_cell_angle_alpha 90.00
_cell_angle_beta 109.98
_cell_angle_gamma 90.00
loop_
_symmetry_equiv_pos_as_xyz
'x,y,z'
'-x,-y,-z'
'-x,y,-z+1/2'
'x,-y,z+1/2'
'x+1/2,y+1/2,z'
'-x+1/2,-y+1/2,-z'
'-x+1/2,y+1/2,-z+1/2'
'x+1/2,-y+1/2,z+1/2'
loop_
_atom_site_label
_atom_site_fract_x
_atom_site_fract_y
_atom_site_fract_z
_atom_site_occupancy
Zr1 0.0000 0.1422 0.2500 1
Zr2 0.0895 0.1892 0.0016 1
Zr3 0.2390 0.0764 0.7636 1
Cd1 0.0000 0.3919 0.7500 1
Au1 0.2500 0.2500 0.5000 1
```

Results
- VASP energy: -6.620 eV per atom

=====

| no. | energy of formation (meV per atom) | spin magnetization (μB per formula unit) |
| --- | --- | --- |
| 1 | 435 | 0.000 |
| 2 | -10 | 0.028 |
| 3 | 84 | 0.000 |